# 1
ThSbS2N: relaxed, GGA-PBE.

The structure in POSCAR format:
```
ThSbS2N
1.0
3.996 0.000 0.000
0.000 3.996 0.000
0.000 0.000 14.018
N Sb Th S
2 2 2 4
Cartesian
1.998 1.998 7.009
0.000 0.000 7.009
0.000 1.998 12.159
1.998 0.000 1.859
1.998 0.000 8.212
0.000 1.998 5.807
0.000 1.998 1.605
1.998 0.000 12.414
0.000 1.998 9.731
1.998 0.000 4.287
```

Computed properties:
Crystal system ... tetragonal

---

# 2
TiSbSN2: relaxed, GGA-PBE.

The structure in POSCAR format:
```
TiSbSN2
1.0
3.988 0.000 0.000
0.000 3.988 0.000
0.000 0.000 5.066
N Ti Sb S
2 1 1 1
Cartesian
1.994 0.000 0.000
0.000 1.994 0.000
1.994 1.994 2.533
0.000 0.000 0.000
0.000 0.000 2.533
```

Computed properties:
Energy relative to the lowest polymorph listed for this composition ... 719 meV per atom
Crystal system ... tetragonal

---

# 3
TiSbSN2: relaxed, GGA-PBE.

The structure in POSCAR format:
```
TiSbSN2
1.0
-1.059 -2.528 2.843
3.592 -1.637 -0.118
1.576 3.211 3.442
N Ti Sb S
2 1 1 1
Cartesian
1.796 -0.819 -0.059
-0.530 -1.264 1.422
0.000 0.000 0.000
2.055 -0.477 3.084
0.788 1.605 1.721
```

Computed properties:
Energy relative to the lowest polymorph listed for this composition ... 0 meV per atom
Crystal system ... tetragonal

---

# 4
TiSb2SN: relaxed, GGA-PBE.

The structure in POSCAR format:
```
TiSb2SN
1.0
-5.221 0.324 1.246
-0.017 -3.674 0.886
1.287 1.218 5.077
N Sb S Ti
1 2 1 1
Cartesian
-0.008 -1.837 0.443
-2.610 0.162 0.623
0.643 0.609 2.538
-1.975 -1.066 3.604
0.000 0.000 0.000
```

Computed properties:
Crystal system ... tetragonal

---

# 5
TlSbSN2: relaxed, GGA-PBE.

The structure in POSCAR format:
```
TlSbSN2
1.0
4.277 0.000 0.000
0.000 4.277 0.000
0.000 0.000 5.459
Sb N S Tl
1 2 1 1
Cartesian
2.138 2.138 2.729
2.138 0.000 0.000
0.000 2.138 0.000
0.000 0.000 2.729
0.000 0.000 0.000
```

Computed properties:
Energy relative to the lowest polymorph listed for this composition ... 725 meV per atom
Crystal system ... tetragonal

---

# 6
TlSbS2N: relaxed, GGA-PBE.

The structure in POSCAR format:
```
TlSbS2N
1.0
-0.351 4.644 -2.216
-3.157 1.560 3.768
3.182 1.263 2.143
N S Tl Sb
1 2 1 1
Cartesian
1.591 0.632 1.071
-0.176 2.322 -1.108
-1.578 0.780 1.884
-0.163 3.733 1.848
0.000 0.000 0.000
```

Computed properties:
Energy relative to the lowest polymorph listed for this composition ... 0 meV per atom
Crystal system ... tetragonal

---

# 7
TlSbS2N: relaxed, GGA-PBE.

The structure in POSCAR format:
```
TlSbS2N
1.0
-3.534 -3.605 1.162
3.261 -2.088 3.442
-1.537 2.456 2.946
S Tl Sb N
2 1 1 1
Cartesian
1.631 -1.044 1.721
-1.767 -1.803 0.581
0.000 0.000 0.000
-0.905 -1.618 3.775
-0.769 1.228 1.473
```

Computed properties:
Energy relative to the lowest polymorph listed for this composition ... 681 meV per atom
Crystal system ... tetragonal

---

# 8
TlSbSN2: relaxed, GGA-PBE.

The structure in POSCAR format:
```
TlSbSN2
1.0
4.063 0.000 0.000
0.000 4.063 0.000
0.000 0.000 5.466
N S Sb Tl
2 1 1 1
Cartesian
0.000 2.031 0.000
2.031 0.000 0.000
0.000 0.000 2.733
0.000 0.000 0.000
2.031 2.031 2.733
```

Computed properties:
Energy relative to the lowest polymorph listed for this composition ... 0 meV per atom
Crystal system ... tetragonal

---

# 9
VSbSN2: relaxed, GGA-PBE.

The structure in POSCAR format:
```
VSbSN2
1.0
3.856 0.000 0.000
0.000 3.856 0.000
0.000 0.000 4.821
S V Sb N
1 1 1 2
Cartesian
0.000 0.000 2.411
0.000 0.000 0.000
1.928 1.928 2.411
1.928 0.000 0.000
0.000 1.928 0.000
```

Computed properties:
Crystal system ... tetragonal

---

# 10
SbWSN2: relaxed, GGA-PBE.

The structure in POSCAR format:
```
SbWSN2
1.0
3.984 0.000 0.000
0.000 3.984 0.000
0.000 0.000 4.917
Sb N W S
1 2 1 1
Cartesian
1.992 1.992 2.459
0.000 1.992 0.000
1.992 0.000 0.000
0.000 0.000 0.000
0.000 0.000 2.459
```

Computed properties:
Energy relative to the lowest polymorph listed for this composition ... 0 meV per atom
Crystal system ... tetragonal

---

# 11
SbWSN2: relaxed, GGA-PBE.

The structure in POSCAR format:
```
SbWSN2
1.0
3.999 0.000 0.000
0.000 3.999 0.000
0.000 0.000 4.991
N S W Sb
2 1 1 1
Cartesian
1.999 0.000 0.000
0.000 1.999 0.000
0.000 0.000 2.496
1.999 1.999 2.496
0.000 0.000 0.000
```

Computed properties:
Energy relative to the lowest polymorph listed for this composition ... 1416 meV per atom
Crystal system ... tetragonal

---

# 12
Sb2WSN: relaxed, GGA-PBE.

The structure in POSCAR format:
```
Sb2WSN
1.0
5.325 0.000 0.000
0.000 4.492 0.000
0.000 0.000 5.325
Sb W N S
2 1 1 1
Cartesian
0.000 0.000 2.663
2.663 0.000 0.000
0.000 0.000 0.000
2.663 2.246 2.663
0.000 2.246 0.000
```

Computed properties:
Crystal system ... tetragonal

---

| no. | E_form (uncorrected) (eV/atom) |
| --- | --- |
| 1 | -1.106 |
| 2 | 0.905 |
| 3 | 0.186 |
| 4 | 0.269 |
| 5 | 1.734 |
| 6 | 0.545 |
| 7 | 1.226 |
| 8 | 1.009 |
| 9 | 0.314 |
| 10 | 0.396 |
| 11 | 1.812 |
| 12 | 1.298 |